Below is AlV2AgO8 after structural relaxation, with properties calculated at the PBE with a Hubbard U level.

For the energy, the calculation gives -6.508 eV per atom. Its density of states at the Fermi level is 0.4074 states/eV/atom.

abc: 5.651 5.651 5.651
angles: 109.46 109.46 109.49
Fractional coordinates of all 12 atoms:
Al  0.250  0.750  0.500
V  0.750  0.250  0.500
V  0.500  0.500  0.000
Ag  0.000  0.000  0.000
O  0.372  0.065  0.307
O  0.345  0.565  0.221
O  0.345  0.124  0.779
O  0.758  0.065  0.693
O  0.876  0.655  0.221
O  0.935  0.242  0.307
O  0.935  0.628  0.693
O  0.435  0.655  0.779